Entry 1:
Compound: Cu7Ag2
Source: OQMD
Functional: PBE
Structure: optimized geometry

Results
Total DFT energy (no corrections) (eV per atom): -3.46
Relative energy among the computed polymorphs (meV/atom): 13
Space group: C2/m (12)

```
9
Lattice="-0.026 -0.538 -5.586 -0.461 -3.052 -4.687 -7.845 2.047 1.925" Properties=species:S:1:pos:R:3 pbc="T T T"
Ag -0.768 -2.226 -6.597
Ag -7.564 0.684 -1.751
Cu -2.052 -3.164 -9.842
Cu -2.466 -0.587 -2.835
Cu -3.442 -1.580 -6.083
Cu -3.923 1.024 0.963
Cu -4.890 0.037 -2.265
Cu -5.865 -0.956 -5.513
Cu -6.280 1.622 1.494
```

=====

Entry 2:
Compound: CuAg
Source: OQMD
Functional: PBE
Structure: optimized geometry

Results
Total DFT energy (no corrections) (eV per atom): -3.16
Space group: P1 (1)

```
10
Lattice="-4.767 -0.382 0.093 0.894 -1.605 -4.441 2.685 -5.275 4.225" Properties=species:S:1:pos:R:3 pbc="T T T"
Ag -2.221 -3.284 -2.642
Ag -3.005 -3.755 -0.018
Ag 1.025 -3.924 2.556
Ag -1.276 -5.218 1.703
Ag 1.140 -6.093 0.681
Cu -0.010 -0.137 -0.038
Cu -2.257 -1.265 -0.839
Cu 0.085 -2.096 -1.748
Cu -0.687 -2.502 0.810
Cu -0.526 -4.593 -0.972
```

=====

Entry 3:
Compound: CuAg
Source: OQMD
Functional: PBE
Structure: optimized geometry

Results
Total DFT energy (no corrections) (eV per atom): -3.21
Space group: Pmmn (59)

```
24
Lattice="-2.290 0.361 -1.590 -2.082 -0.101 2.976 3.130 34.697 3.373" Properties=species:S:1:pos:R:3 pbc="T T T"
Ag 0.074 0.820 0.080
Ag -1.964 2.592 0.932
Ag 0.371 4.108 0.399
Ag -1.667 5.890 1.253
Ag 0.669 7.419 0.721
Ag -1.367 9.218 1.576
Ag 2.310 25.609 2.490
Ag 0.274 27.408 3.345
Ag 2.610 28.937 2.813
Ag 0.573 30.719 3.667
Ag 2.908 32.235 3.134
Ag 0.870 34.007 3.986
Cu 0.950 10.527 1.023
Cu -1.126 11.882 1.835
Cu 1.172 12.993 1.263
Cu -0.902 14.364 2.077
Cu 1.396 15.480 1.505
Cu -0.678 16.855 2.319
Cu 1.621 17.972 1.747
Cu -0.453 19.347 2.561
Cu 1.846 20.463 1.989
Cu -0.228 21.834 2.803
Cu 2.070 22.945 2.231
Cu -0.006 24.300 3.043
```

=====

What did we get for formation enthalpy at 0 K? Answer: 0.53 0.21 0.12 eV per formula unit, in the order shown.